Entry 1:
# LaOsN3 (PBE, optimized geometry)
data_LaOsN3
_chemical_formula_sum 'La4 Os4 N12'
_symmetry_space_group_name_H-M 'P 1'
_symmetry_Int_Tables_number 1
_cell_length_a 5.577
_cell_length_b 7.901
_cell_length_c 5.584
_cell_angle_alpha 90.00
_cell_angle_beta 90.00
_cell_angle_gamma 90.00
loop_
_symmetry_equiv_pos_as_xyz
'x,y,z'
loop_
_atom_site_label
_atom_site_fract_x
_atom_site_fract_y
_atom_site_fract_z
N1 0.722 0.978 0.722
N2 0.278 0.478 0.278
La1 0.983 0.750 0.999
N3 0.504 0.750 0.044
La2 0.483 0.750 0.501
La3 0.517 0.250 0.499
N4 0.722 0.522 0.722
La4 0.017 0.250 0.001
N5 0.996 0.250 0.544
N6 0.222 0.978 0.778
Os1 0.000 0.500 0.500
Os2 0.500 0.000 0.000
N7 0.778 0.478 0.222
Os3 0.500 0.500 0.000
N8 0.496 0.250 0.956
N9 0.778 0.022 0.222
N10 0.278 0.022 0.278
N11 0.004 0.750 0.456
Os4 0.000 0.000 0.500
N12 0.222 0.522 0.778
# Space-group type: Pnma
# E_form (uncorrected), meV/atom: -372.4

---

Entry 2:
# LaOsN3 (PBE, optimized geometry)
data_LaOsN3
_chemical_formula_sum 'La2 Os2 N6'
_symmetry_space_group_name_H-M 'P 1'
_symmetry_Int_Tables_number 1
_cell_length_a 7.754
_cell_length_b 4.242
_cell_length_c 5.530
_cell_angle_alpha 90.00
_cell_angle_beta 60.87
_cell_angle_gamma 90.00
loop_
_symmetry_equiv_pos_as_xyz
'x,y,z'
loop_
_atom_site_label
_atom_site_fract_x
_atom_site_fract_y
_atom_site_fract_z
N1 0.599 0.215 0.999
N2 0.025 0.170 0.532
N3 0.738 0.617 0.390
N4 0.440 0.117 0.038
La1 0.327 0.229 0.581
N5 0.578 0.715 0.429
Os1 0.200 0.937 0.146
Os2 0.978 0.437 0.281
La2 0.851 0.729 0.847
N6 0.153 0.670 0.896
# Space-group type: P2_1
# E_form (uncorrected), meV/atom: -370.3

---

Entry 3:
# LaOsN3 (PBE, optimized geometry)
data_LaOsN3
_chemical_formula_sum 'La4 Os4 N12'
_symmetry_space_group_name_H-M 'P 1'
_symmetry_Int_Tables_number 1
_cell_length_a 13.994
_cell_length_b 10.247
_cell_length_c 4.845
_cell_angle_alpha 90.00
_cell_angle_beta 150.78
_cell_angle_gamma 90.00
loop_
_symmetry_equiv_pos_as_xyz
'x,y,z'
loop_
_atom_site_label
_atom_site_fract_x
_atom_site_fract_y
_atom_site_fract_z
Os1 0.651 0.070 0.262
Os2 0.151 0.430 0.762
La1 0.523 0.333 0.324
Os3 0.349 0.930 0.738
N1 0.905 0.385 0.332
N2 0.663 0.154 0.973
N3 0.837 0.654 0.527
N4 0.595 0.885 0.168
N5 0.405 0.416 0.517
N6 0.405 0.115 0.832
N7 0.163 0.346 0.473
N8 0.095 0.615 0.668
La2 0.023 0.167 0.824
N9 0.595 0.584 0.483
N10 0.337 0.846 0.027
N11 0.905 0.084 0.017
La3 0.477 0.667 0.676
La4 0.977 0.833 0.176
N12 0.095 0.916 0.983
Os4 0.849 0.570 0.238
# Space-group type: P2_1/c
# E_form (uncorrected), meV/atom: -382.5

---

Entry 4:
# LaOsN3 (PBE, optimized geometry)
data_LaOsN3
_chemical_formula_sum 'La2 Os2 N6'
_symmetry_space_group_name_H-M 'P 1'
_symmetry_Int_Tables_number 1
_cell_length_a 6.668
_cell_length_b 3.910
_cell_length_c 5.836
_cell_angle_alpha 89.90
_cell_angle_beta 112.01
_cell_angle_gamma 89.91
loop_
_symmetry_equiv_pos_as_xyz
'x,y,z'
loop_
_atom_site_label
_atom_site_fract_x
_atom_site_fract_y
_atom_site_fract_z
Os1 0.123 0.664 0.433
N1 0.260 0.885 0.787
N2 0.887 0.344 0.429
N3 0.142 0.367 0.146
La1 0.504 0.615 0.194
N4 0.863 0.021 0.389
N5 0.660 0.373 0.819
La2 0.929 0.863 0.863
N6 0.274 0.096 0.279
Os2 0.405 0.179 0.648
# Space-group type: P1
# E_form (uncorrected), meV/atom: -271.2

---

Sequential DOS(E_F) output: 9.53; 0.00; 0.48; 0.00 states/eV/cell
Sequential mass density output: 10.0; 7.8; 7.3; 8.7 Mg/m³